No. 1
Crystalline BaEuRh at its relaxed geometry, computed with PBE-GGA.

The space group is I4mm (No. 107) and the conventional cell measures 3.726, 3.726 and 14.350 Å, with angles of 90.00, 90.00 and 90.00 degrees. The asymmetric unit holds Ba at (0.000, 0.000, 0.000), Eu at (0.000, 0.000, 0.243) and Rh at (0.000, 0.000, 0.638).

The calculation puts the energy above the most stable polymorph in this dataset at 0.0129 eV/atom. The value obtained for the total energy is -40.07 eV/cell. The calculation puts the magnetization at 14.8 Bohr magnetons per cell.

***

No. 2
Crystalline BaEu3Ru at its relaxed geometry, computed with PBE-GGA.

The space group is Pm-3m (No. 221) and the conventional cell measures 5.717, 5.717 and 5.717 Å, with angles of 90.00, 90.00 and 90.00 degrees. The asymmetric unit holds Ba at (0.000, 0.000, 0.000), Eu at (0.000, 0.500, 0.500) and Ru at (0.500, 0.500, 0.500).

The value obtained for the total energy is -41.86 eV/cell. The calculation puts the magnetization at 21.5 Bohr magnetons per cell.

***

No. 3
Crystalline BaEuS2 at its relaxed geometry, computed with PBE-GGA.

The space group is R-3m (No. 166, hexagonal axes) and the conventional cell measures 4.3476, 4.3476 and 21.5156 Å, with angles of 90.00, 90.00 and 120.00 degrees. The asymmetric unit holds Ba at (0.0000, 0.0000, 0.0000), Eu at (0.0000, 0.0000, 0.5000) and S at (0.0000, 0.0000, 0.2424).

The calculation puts the energy above the most stable polymorph in this dataset at 0.0000 eV/atom. The value obtained for the total energy is -86.36 eV/cell. The calculation puts the magnetization at 21.0 Bohr magnetons per cell. The calculation puts the raw formation energy at -2083 meV per atom.

***

No. 4
Crystalline BaEuS2 at its relaxed geometry, computed with PBE-GGA.

The space group is P4/mmm (No. 123) and the conventional cell measures 4.396, 4.396 and 6.218 Å, with angles of 90.00, 90.00 and 90.00 degrees. The asymmetric unit holds Ba at (0.000, 0.000, 0.000), Eu at (0.500, 0.500, 0.500), S at (0.000, 0.000, 0.500) and S at (0.500, 0.500, 0.000).

The calculation puts the energy above the most stable polymorph in this dataset at 0.0479 eV/atom. The value obtained for the total energy is -28.59 eV/cell. The calculation puts the magnetization at 7.0 Bohr magnetons per cell. The calculation puts the raw formation energy at -2035 meV per atom.